1.
Entry from Alexandria: an optimized crystal structure of Cd8Hg2Rh (PBE).

Output
Polymorph energy (0 for the lowest one) = 0.25 eV/f.u.

Cell and atoms, written as CIF:
```
data_Cd8Hg2Rh
_chemical_formula_sum 'Cd8 Hg2 Rh1'
_symmetry_space_group_name_H-M 'P 1'
_symmetry_Int_Tables_number 1
_symmetry_space_group_name_Hall 'P 1'
_cell_length_a 4.3235
_cell_length_b 6.8102
_cell_length_c 8.6833
_cell_angle_alpha 107.82
_cell_angle_beta 104.42
_cell_angle_gamma 90.00
loop_
_atom_site_label
_atom_site_type_symbol
_atom_site_fract_x
_atom_site_fract_y
_atom_site_fract_z
Hg1 Hg 0.2239 0.6478 0.4478
Hg2 Hg 0.7761 0.3522 0.5522
Cd1 Cd 0.9642 0.2662 0.9285
Cd2 Cd 0.0358 0.7338 0.0715
Cd3 Cd 0.6689 0.9114 0.3378
Cd4 Cd 0.1282 0.1775 0.2563
Cd5 Cd 0.3311 0.0886 0.6622
Cd6 Cd 0.4109 0.5547 0.8219
Cd7 Cd 0.8718 0.8225 0.7437
Cd8 Cd 0.5891 0.4453 0.1781
Rh1 Rh 0.5000 0.0000 0.0000
```

2.
Entry from Alexandria: an optimized crystal structure of Cd4HgRh2 (PBE).

Cell and atoms, written as CIF:
```
data_Cd4HgRh2
_chemical_formula_sum 'Cd4 Hg1 Rh2'
_symmetry_space_group_name_H-M 'P 1'
_symmetry_Int_Tables_number 1
_symmetry_space_group_name_Hall 'P 1'
_cell_length_a 5.6995
_cell_length_b 5.6995
_cell_length_c 5.6995
_cell_angle_alpha 108.68
_cell_angle_beta 108.68
_cell_angle_gamma 111.07
loop_
_atom_site_label
_atom_site_type_symbol
_atom_site_fract_x
_atom_site_fract_y
_atom_site_fract_z
Hg1 Hg 0.7863 0.7863 0.0003
Cd1 Cd 0.2857 0.7853 0.9999
Cd2 Cd 0.2860 0.2860 0.5003
Cd3 Cd 0.7853 0.2857 0.9999
Cd4 Cd 0.7855 0.7855 0.4999
Rh1 Rh 0.2856 0.7857 0.4999
Rh2 Rh 0.7857 0.2856 0.4999
```

3.
Entry from Alexandria: an optimized crystal structure of Sc2CdHgRh (PBE).

Cell and atoms, written as CIF:
```
data_Sc2CdHgRh
_chemical_formula_sum 'Sc2 Cd1 Hg1 Rh1'
_symmetry_space_group_name_H-M 'P 1'
_symmetry_Int_Tables_number 1
_symmetry_space_group_name_Hall 'P 1'
_cell_length_a 4.9166
_cell_length_b 5.1933
_cell_length_c 4.9166
_cell_angle_alpha 90.00
_cell_angle_beta 90.00
_cell_angle_gamma 90.00
loop_
_atom_site_label
_atom_site_type_symbol
_atom_site_fract_x
_atom_site_fract_y
_atom_site_fract_z
Rh1 Rh 0.0000 0.0000 0.0000
Cd1 Cd 0.0000 0.5000 0.0000
Sc1 Sc 0.0000 0.0000 0.5000
Sc2 Sc 0.5000 0.0000 0.0000
Hg1 Hg 0.5000 0.5000 0.5000
```

4.
Entry from Alexandria: an optimized crystal structure of Sc5Cd2HgRh2 (PBE).

Cell and atoms, written as CIF:
```
data_Sc5Cd2HgRh2
_chemical_formula_sum 'Sc10 Cd4 Hg2 Rh4'
_symmetry_space_group_name_H-M 'P 1'
_symmetry_Int_Tables_number 1
_symmetry_space_group_name_Hall 'P 1'
_cell_length_a 3.4663
_cell_length_b 11.1253
_cell_length_c 11.1253
_cell_angle_alpha 90.00
_cell_angle_beta 90.00
_cell_angle_gamma 90.00
loop_
_atom_site_label
_atom_site_type_symbol
_atom_site_fract_x
_atom_site_fract_y
_atom_site_fract_z
Sc1 Sc 0.5000 0.0000 0.5000
Sc2 Sc 0.5000 0.9213 0.2043
Sc3 Sc 0.5000 0.2957 0.5787
Sc4 Sc 0.5000 0.7957 0.9213
Sc5 Sc 0.5000 0.2043 0.0787
Sc6 Sc 0.5000 0.0787 0.7957
Sc7 Sc 0.5000 0.4213 0.2957
Sc8 Sc 0.5000 0.5000 0.0000
Sc9 Sc 0.5000 0.5787 0.7043
Sc10 Sc 0.5000 0.7043 0.4213
Cd1 Cd 0.0000 0.3291 0.8291
Cd2 Cd 0.0000 0.8291 0.6709
Cd3 Cd 0.0000 0.1709 0.3291
Cd4 Cd 0.0000 0.6709 0.1709
Hg1 Hg 0.0000 0.0000 0.0000
Hg2 Hg 0.0000 0.5000 0.5000
Rh1 Rh 0.0000 0.8711 0.3711
Rh2 Rh 0.0000 0.1289 0.6289
Rh3 Rh 0.0000 0.3711 0.1289
Rh4 Rh 0.0000 0.6289 0.8711
```

5.
Entry from Alexandria: an optimized crystal structure of Sm4CdHg2Rh (PBE).

Cell and atoms, written as CIF:
```
data_Sm4CdHg2Rh
_chemical_formula_sum 'Sm4 Cd1 Hg2 Rh1'
_symmetry_space_group_name_H-M 'P 1'
_symmetry_Int_Tables_number 1
_symmetry_space_group_name_Hall 'P 1'
_cell_length_a 5.2885
_cell_length_b 5.2885
_cell_length_c 9.0475
_cell_angle_alpha 73.01
_cell_angle_beta 73.01
_cell_angle_gamma 60.00
loop_
_atom_site_label
_atom_site_type_symbol
_atom_site_fract_x
_atom_site_fract_y
_atom_site_fract_z
Sm1 Sm 0.1321 0.1321 0.6038
Sm2 Sm 0.6133 0.6133 0.1601
Sm3 Sm 0.8679 0.8679 0.3962
Sm4 Sm 0.3867 0.3867 0.8399
Hg1 Hg 0.7385 0.7385 0.7845
Hg2 Hg 0.2615 0.2615 0.2155
Cd1 Cd 0.0000 0.0000 0.0000
Rh1 Rh 0.5000 0.5000 0.5000
```

6.
Entry from Alexandria: an optimized crystal structure of CdSn2HgRh (PBE).

Cell and atoms, written as CIF:
```
data_CdSn2HgRh
_chemical_formula_sum 'Cd1 Sn2 Hg1 Rh1'
_symmetry_space_group_name_H-M 'P 1'
_symmetry_Int_Tables_number 1
_symmetry_space_group_name_Hall 'P 1'
_cell_length_a 5.0812
_cell_length_b 5.0812
_cell_length_c 5.2970
_cell_angle_alpha 90.00
_cell_angle_beta 90.00
_cell_angle_gamma 90.00
loop_
_atom_site_label
_atom_site_type_symbol
_atom_site_fract_x
_atom_site_fract_y
_atom_site_fract_z
Cd1 Cd 0.0000 0.0000 0.5000
Sn1 Sn 0.0000 0.5000 0.0000
Sn2 Sn 0.5000 0.0000 0.0000
Rh1 Rh 0.0000 0.0000 0.0000
Hg1 Hg 0.5000 0.5000 0.5000
```

7.
Entry from Alexandria: an optimized crystal structure of Sr2CdHgRh (PBE).

Output
Polymorph energy (0 for the lowest one) = 0.00 eV/f.u.

Cell and atoms, written as CIF:
```
data_Sr2CdHgRh
_chemical_formula_sum 'Sr2 Cd1 Hg1 Rh1'
_symmetry_space_group_name_H-M 'P 1'
_symmetry_Int_Tables_number 1
_symmetry_space_group_name_Hall 'P 1'
_cell_length_a 5.7072
_cell_length_b 5.7072
_cell_length_c 5.2324
_cell_angle_alpha 90.00
_cell_angle_beta 90.00
_cell_angle_gamma 90.00
loop_
_atom_site_label
_atom_site_type_symbol
_atom_site_fract_x
_atom_site_fract_y
_atom_site_fract_z
Cd1 Cd 0.0000 0.0000 0.5000
Hg1 Hg 0.5000 0.5000 0.5000
Sr1 Sr 0.0000 0.5000 0.0000
Sr2 Sr 0.5000 0.0000 0.0000
Rh1 Rh 0.0000 0.0000 0.0000
```

8.
Entry from Alexandria: an optimized crystal structure of Sr2CdHgRh (PBE).

Output
Polymorph energy (0 for the lowest one) = 0.27 eV/f.u.

Cell and atoms, written as CIF:
```
data_Sr2CdHgRh
_chemical_formula_sum 'Sr2 Cd1 Hg1 Rh1'
_symmetry_space_group_name_H-M 'P 1'
_symmetry_Int_Tables_number 1
_symmetry_space_group_name_Hall 'P 1'
_cell_length_a 5.6892
_cell_length_b 5.6892
_cell_length_c 5.2968
_cell_angle_alpha 90.00
_cell_angle_beta 90.00
_cell_angle_gamma 90.00
loop_
_atom_site_label
_atom_site_type_symbol
_atom_site_fract_x
_atom_site_fract_y
_atom_site_fract_z
Rh1 Rh 0.0000 0.0000 0.0000
Cd1 Cd 0.5000 0.5000 0.5000
Hg1 Hg 0.0000 0.0000 0.5000
Sr1 Sr 0.0000 0.5000 0.0000
Sr2 Sr 0.5000 0.0000 0.0000
```

Number 1: total energy -0.10266 Ry per atom, ΔE_f -0.008 eV/atom. Number 2: total energy -0.19726 Ry per atom, ΔE_f -0.017 eV/atom. Number 3: total energy -0.32725 Ry per atom, ΔE_f -0.206 eV/atom. Number 4: total energy -0.39430 Ry per atom, ΔE_f -0.515 eV/atom. Number 5: total energy -0.29212 Ry per atom, ΔE_f -0.506 eV/atom. Number 6: total energy -0.24897 Ry per atom, ΔE_f -0.073 eV/atom. Number 7: total energy -0.19244 Ry per atom, ΔE_f -0.232 eV/atom. Number 8: total energy -0.18853 Ry per atom, ΔE_f -0.179 eV/atom.